Entry 1:
Compound: RbBa2Pr
Source: Alexandria
Functional: PBE
Structure: relaxed

Structure (POSCAR):
```
RbBa2Pr
1.0
4.187 0.000 0.000
0.000 4.187 0.000
0.000 0.000 13.185
Rb Ba Pr
1 2 1
direct
0.000 0.000 0.000 Rb
0.500 0.500 0.293 Ba
0.500 0.500 0.707 Ba
0.000 0.000 0.500 Pr
```

Calculated values
- Polymorph energy (0 for the lowest one): 0 meV/atom
- SG: P4/mmm, No. 123

Entry 2:
Compound: LiCd2Si
Source: Alexandria
Functional: PBE
Structure: relaxed

Structure (POSCAR):
```
LiCd2Si
1.0
2.922 -5.109 0.000
2.922 5.109 0.000
-1.393 0.000 2.590
Li Cd Si
1 2 1
direct
0.000 0.000 0.000 Li
0.000 0.500 0.000 Cd
0.500 0.000 0.000 Cd
0.500 0.500 0.000 Si
```

Calculated values
- Raw formation energy: 0.080 eV per atom
- SG: C2/m, No. 12

Entry 3:
Compound: NaZnRh
Source: Alexandria
Functional: PBE
Structure: relaxed

Structure (POSCAR):
```
NaZnRh
1.0
5.057 0.000 0.000
0.000 4.436 0.000
-2.162 0.000 5.232
Na Zn Rh
2 2 2
direct
0.238 0.250 0.022 Na
0.762 0.750 0.978 Na
0.414 0.250 0.569 Zn
0.586 0.750 0.431 Zn
0.130 0.750 0.516 Rh
0.870 0.250 0.484 Rh
```

Calculated values
- Energy: -20.35 eV/cell
- SG: P2_1/m, No. 11

Entry 4:
Compound: TcNi2W
Source: Alexandria
Functional: PBE
Structure: relaxed

Structure (POSCAR):
```
TcNi2W
1.0
4.362 -1.310 0.000
4.362 1.310 0.000
-0.671 0.000 4.612
Tc Ni W
1 2 1
direct
0.000 0.000 0.000 Tc
0.492 0.492 0.475 Ni
0.743 0.743 0.237 Ni
0.238 0.238 0.719 W
```

Calculated values
- Polymorph energy (0 for the lowest one): 64 meV/atom
- SG: Cm, No. 8